The following is a DFT calculation (PBE) of a relaxed structure of BiPb5Se7.

Cell lengths 14.510, 4.231, 25.512 Å; angles 90.00, 90.01, 90.00 degrees
Space group Cm (No. 8)
Unique sites:
1 Bi 0.000 0.000 0.000
2 Bi 0.046 0.500 0.500
3 Pb 0.007 0.500 0.174
4 Pb 0.007 0.500 0.826
5 Pb 0.040 0.000 0.326
6 Pb 0.040 0.000 0.674
7 Pb 0.246 0.000 0.098
8 Pb 0.246 0.000 0.902
9 Pb 0.273 0.500 0.250
10 Pb 0.274 0.500 0.750
11 Pb 0.301 0.000 0.402
12 Pb 0.301 0.000 0.598
13 Se 0.092 0.500 0.069
14 Se 0.092 0.500 0.931
15 Se 0.139 0.000 0.211
16 Se 0.139 0.000 0.789
17 Se 0.180 0.500 0.359
18 Se 0.180 0.500 0.641
19 Se 0.189 0.000 0.500
20 Se 0.358 0.000 0.000
21 Se 0.367 0.500 0.141
22 Se 0.367 0.500 0.859
23 Se 0.407 0.000 0.289
24 Se 0.408 0.000 0.711
25 Se 0.454 0.500 0.431
26 Se 0.455 0.500 0.569

DOS at the Fermi energy: 29.1 states/eV/cell
E_tot: -4.0571 eV per atom
Mass density: 7623 kg/m³
Formation energy without anion corrections: -5.93 eV/f.u.